# PBEsol LiBe2, optimized geometry
data_LiBe2
_chemical_formula_sum 'Li2 Be4'
_space_group_name_H-M_alt 'I 4/m m m'
_space_group_IT_number 139
_space_group_name_Hall '-I 4 2'
_cell_length_a 2.6504
_cell_length_b 2.6504
_cell_length_c 8.3968
_cell_angle_alpha 90.00
_cell_angle_beta 90.00
_cell_angle_gamma 90.00
loop_
_atom_site_label
_atom_site_type_symbol
_atom_site_fract_x
_atom_site_fract_y
_atom_site_fract_z
Li1 Li 0.0000 0.0000 0.0000
Be1 Be 0.0000 0.0000 0.3092
# Calculated density = 1.406 Mg/m³
# Formation energy from the elements = 0.17 eV per atom
# Raw total energy = -0.231 Ry per atom
# Distance to the lowest polymorph of the same formula = 0.000 eV per atom

---

# PBEsol LiBe2, optimized geometry
data_LiBe2
_chemical_formula_sum 'Li1 Be2'
_space_group_name_H-M_alt 'P -3 m 1'
_space_group_IT_number 164
_space_group_name_Hall '-P 3 2"'
_cell_length_a 2.3237
_cell_length_b 2.3237
_cell_length_c 6.0974
_cell_angle_alpha 90.00
_cell_angle_beta 90.00
_cell_angle_gamma 120.00
loop_
_atom_site_label
_atom_site_type_symbol
_atom_site_fract_x
_atom_site_fract_y
_atom_site_fract_z
Li1 Li 0.0000 0.0000 0.0000
Be1 Be 0.3333 0.6667 0.3507
# Calculated density = 1.454 Mg/m³
# Formation energy from the elements = 0.19 eV per atom
# Raw total energy = -0.230 Ry per atom
# Distance to the lowest polymorph of the same formula = 0.016 eV per atom